Below is an optimized crystal structure of Dy2HoSi4Ni4, with properties calculated at the PBE level.

Its total magnetic moment is 0.0 μB per formula unit. As for the total energy: -6.03 eV/atom.

Cell: 7.685 7.685 7.685 Å, 149.54 129.55 60.08°
Fractional coordinates of all 11 atoms:
Dy 0.129 0.129 0.000
Dy 0.871 0.871 0.000
Ho 0.500 0.000 0.500
Si 0.188 0.500 0.688
Si 0.283 0.783 0.500
Si 0.717 0.217 0.500
Si 0.812 0.500 0.312
Ni 0.127 0.323 0.804
Ni 0.481 0.677 0.804
Ni 0.519 0.323 0.196
Ni 0.873 0.677 0.196


Below is an optimized crystal structure of Dy3Ho4Ni2Te2, with properties calculated at the PBE level.

Its total magnetic moment is 0.0 μB per formula unit. As for the total energy: -5.18 eV/atom.

Cell: 9.354 9.354 9.354 Å, 156.27 66.68 118.71°
Fractional coordinates of all 11 atoms:
Dy 0.000 0.000 0.000
Dy 0.084 0.731 0.353
Dy 0.378 0.731 0.647
Ho 0.064 0.379 0.685
Ho 0.450 0.583 0.867
Ho 0.695 0.379 0.315
Ho 0.716 0.583 0.133
Ni 0.309 0.071 0.238
Ni 0.833 0.071 0.762
Te 0.338 0.338 0.000
Te 0.734 0.234 0.500


Below is an optimized crystal structure of Dy4Ho3Ni2Te2, with properties calculated at the PBE level.

Its total magnetic moment is 0.0 μB per formula unit. As for the total energy: -5.18 eV/atom.

Cell: 9.343 9.343 9.343 Å, 156.25 66.82 118.57°
Fractional coordinates of all 11 atoms:
Dy 0.133 0.000 0.133
Dy 0.501 0.147 0.354
Dy 0.794 0.147 0.646
Dy 0.867 0.000 0.867
Ho 0.112 0.797 0.315
Ho 0.417 0.417 0.000
Ho 0.482 0.797 0.685
Ni 0.252 0.489 0.763
Ni 0.726 0.489 0.237
Te 0.153 0.653 0.500
Te 0.754 0.754 0.000


Below is an optimized crystal structure of Dy2Ho5Ni2Te2, with properties calculated at the PBE level.

Its total magnetic moment is 0.0 μB per formula unit. As for the total energy: -5.18 eV/atom.

Cell: 9.346 9.346 9.346 Å, 156.26 66.77 118.62°
Fractional coordinates of all 11 atoms:
Dy 0.146 0.000 0.146
Dy 0.854 0.000 0.854
Ho 0.167 0.351 0.815
Ho 0.230 0.730 0.500
Ho 0.515 0.148 0.367
Ho 0.536 0.351 0.185
Ho 0.781 0.148 0.633
Ni 0.397 0.659 0.738
Ni 0.921 0.659 0.262
Te 0.496 0.496 0.000
Te 0.892 0.392 0.500


Below is an optimized crystal structure of DyHo6Ni2Te2, with properties calculated at the PBE level.

Its total magnetic moment is 0.0 μB per formula unit. As for the total energy: -5.18 eV/atom.

Cell: 9.336 9.336 9.336 Å, 156.23 66.85 118.55°
Fractional coordinates of all 11 atoms:
Dy 0.000 0.000 0.000
Ho 0.064 0.379 0.685
Ho 0.084 0.730 0.353
Ho 0.377 0.730 0.647
Ho 0.450 0.583 0.867
Ho 0.694 0.379 0.315
Ho 0.716 0.583 0.133
Ni 0.309 0.072 0.237
Ni 0.834 0.072 0.763
Te 0.337 0.337 0.000
Te 0.735 0.235 0.500


Below is an optimized crystal structure of DyHo4Tm2Ni2Te2, with properties calculated at the PBE level.

Its total magnetic moment is 0.0 μB per formula unit. As for the total energy: -5.16 eV/atom.

Cell: 9.301 9.301 9.301 Å, 156.22 67.07 118.33°
Fractional coordinates of all 11 atoms:
Dy 0.000 0.000 0.000
Ho 0.064 0.378 0.685
Ho 0.448 0.581 0.867
Ho 0.693 0.378 0.315
Ho 0.714 0.581 0.133
Tm 0.082 0.729 0.353
Tm 0.375 0.729 0.647
Ni 0.309 0.072 0.237
Ni 0.836 0.072 0.763
Te 0.336 0.336 0.000
Te 0.734 0.234 0.500